Entry 1:
The following is a PBE-GGA calculation of a relaxed structure of AcMgTlPb, from Alexandria.

a = 5.588 Å, b = 5.588 Å, c = 5.588 Å
α = 60.00°, β = 60.00°, γ = 60.00°
Atoms (fractional coordinates):
Ac 0.000 0.000 0.000
Mg 0.500 0.500 0.500
Tl 0.750 0.750 0.750
Pb 0.250 0.250 0.250

Values from the calculation:
The calculation puts the mass density at 8.9 g/cm³. As for the density of states at the Fermi level: 0.48 states/eV/atom.

***

Entry 2:
The following is a PBE-GGA calculation of a relaxed structure of Ac2TmMg3Pb4, from Alexandria.

a = 4.942 Å, b = 4.942 Å, c = 12.476 Å
α = 90.00°, β = 90.00°, γ = 90.00°
Atoms (fractional coordinates):
Ac 0.000 0.500 0.234
Ac 0.500 0.000 0.766
Tm 0.000 0.000 0.500
Mg 0.000 0.500 0.873
Mg 0.500 0.000 0.127
Mg 0.500 0.500 0.500
Pb 0.000 0.000 0.000
Pb 0.000 0.500 0.648
Pb 0.500 0.000 0.352
Pb 0.500 0.500 0.000

Values from the calculation:
The calculation puts the mass density at 8.3 g/cm³. As for the density of states at the Fermi level: 0.63 states/eV/atom.

***

Entry 3:
The following is a PBE-GGA calculation of a relaxed structure of AcTmMgPb, from Alexandria.

a = 5.590 Å, b = 5.590 Å, c = 5.590 Å
α = 60.00°, β = 60.00°, γ = 60.00°
Atoms (fractional coordinates):
Ac 0.000 0.000 0.000
Tm 0.500 0.500 0.500
Mg 0.750 0.750 0.750
Pb 0.250 0.250 0.250

Values from the calculation:
The calculation puts the mass density at 8.4 g/cm³. As for the density of states at the Fermi level: 1.13 states/eV/atom.

***

no.,ΔH_f (0 K) (meV per atom)
1,-275
2,-322
3,-213